(1)
Cs3La2MgTe6 | PBE | optimized geometry

Values from the calculation:
energy relative to the elements, uncorrected	-1.1973	eV/atom
calculated total energy	-3.936	eV/atom
mass density	4.81	Mg/m³
space group	C2/m, No. 12

Cell lengths 8.0870, 8.0870, 9.3598 Å; angles 98.34, 98.34, 120.12 degrees
With the nearest neighbours (Å) after each atom.
Element x y z (fractional)
Te1 0.7453 0.7453 0.1929  1 Mg 3.11, 2 La 3.24
Cs1 0.8293 0.1707 0.5000  6 Te 3.83-3.92
La1 0.6658 0.3342 0.0000  6 Te 3.24
Te2 0.9370 0.6181 0.8101  1 Mg 3.09, 2 La 3.24
Te3 0.0630 0.3819 0.1899  1 Mg 3.09, 2 La 3.24
Cs2 0.1707 0.8293 0.5000  6 Te 3.83-3.92
Te4 0.2547 0.2547 0.8071  1 Mg 3.11, 2 La 3.24
Te5 0.6181 0.9370 0.8101  1 Mg 3.09, 2 La 3.24
Cs3 0.5000 0.5000 0.5000  6 Te 3.83-3.94
Mg1 0.0000 0.0000 0.0000  6 Te 3.09-3.11
La2 0.3342 0.6658 0.0000  6 Te 3.24
Te6 0.3819 0.0630 0.1899  1 Mg 3.09, 2 La 3.24

(2)
Cs4La3MgTe8 | PBE | optimized geometry

Values from the calculation:
energy relative to the elements, uncorrected	-1.2697	eV/atom
calculated total energy	-4.078	eV/atom
mass density	4.83	Mg/m³
space group	R-3m, No. 166

Cell lengths 9.3986, 10.4673, 9.3986 Å; angles 116.68, 120.00, 90.00 degrees
With the nearest neighbours (Å) after each atom.
Element x y z (fractional)
Te1 0.2576 0.3098 0.0336  1 Mg 3.12, 2 La 3.25
Te2 0.7424 0.6902 0.9664  1 Mg 3.12, 2 La 3.25
Te3 0.7761 0.3098 0.0336  1 Mg 3.12, 2 La 3.25
La1 0.5000 0.5000 0.5000  6 Te 3.25
Te4 0.2239 0.6902 0.9664  1 Mg 3.12, 2 La 3.25
Cs1 0.0000 0.0000 0.5000  6 Te 3.82-3.85
Te5 0.2670 0.3010 0.5340  3 La 3.25
Cs2 0.5000 0.0000 0.5000  6 Te 3.82-3.85
Te6 0.7330 0.6990 0.4660  3 La 3.25
La2 0.5000 0.5000 0.0000  6 Te 3.25
Cs3 0.0000 0.0000 0.0000  6 Te 3.82-3.85
Cs4 0.5000 0.0000 0.0000  6 Te 3.95
Te7 0.2241 0.6904 0.4483  1 Mg 3.12, 2 La 3.25
Mg1 0.0000 0.5000 0.0000  6 Te 3.12
Te8 0.7759 0.3096 0.5517  1 Mg 3.12, 2 La 3.25
La3 0.0000 0.5000 0.5000  6 Te 3.25

(3)
CsLaMg2Tl | PBE | optimized geometry

Values from the calculation:
calculated total energy	-1.396	eV/atom
mass density	3.50	Mg/m³
ΔH_f (0 K)	84	kJ per mole of atoms
space group	P4/mmm, No. 123

Cell lengths 6.1441, 6.6010, 6.1441 Å; angles 90.00, 90.00, 90.00 degrees
With the nearest neighbours (Å) after each atom.
Element x y z (fractional)
Tl1 0.5000 0.5000 0.5000  4 Cs 4.34, 8 Mg 4.51
Mg1 0.0000 0.0000 0.5000  2 La 3.07
Cs1 0.0000 0.5000 0.0000  2 La 3.30
Mg2 0.5000 0.0000 0.0000  2 La 3.07
La1 0.0000 0.0000 0.0000  4 Mg 3.07, 2 Cs 3.30

(4)
CsLaMg2Zn | PBE | optimized geometry

Values from the calculation:
calculated total energy	-1.467	eV/atom
mass density	2.59	Mg/m³
ΔH_f (0 K)	56	kJ per mole of atoms
space group	P4/mmm, No. 123

Cell lengths 6.4666, 5.9201, 6.4666 Å; angles 90.00, 90.00, 90.00 degrees
With the nearest neighbours (Å) after each atom.
Element x y z (fractional)
Mg1 0.5000 0.0000 0.0000  2 La 3.23
La1 0.0000 0.0000 0.0000  2 Zn 2.96, 4 Mg 3.23
Zn1 0.0000 0.5000 0.0000  2 La 2.96
Cs1 0.5000 0.5000 0.5000  8 Mg 4.38, 4 Zn 4.57
Mg2 0.0000 0.0000 0.5000  2 La 3.23

(5)
CsLaMn2 | PBE | optimized geometry

Values from the calculation:
calculated total energy	-5.020	eV/atom
mass density	5.32	Mg/m³
ΔH_f (0 K)	97	kJ per mole of atoms
space group	Fm-3m, No. 225

Cell lengths 5.5235, 5.5235, 5.5235 Å; angles 60.00, 60.00, 60.00 degrees
With the nearest neighbours (Å) after each atom.
Element x y z (fractional)
Mn1 0.7500 0.7500 0.7500  4 La 3.38, 4 Cs 3.38
Cs1 0.0000 0.0000 0.0000  8 Mn 3.38
La1 0.5000 0.5000 0.5000  8 Mn 3.38
Mn2 0.2500 0.2500 0.2500  4 La 3.38, 4 Cs 3.38

(6)
Cs2LaMn | PBE | optimized geometry

Values from the calculation:
calculated total energy	-2.816	eV/atom
mass density	3.96	Mg/m³
ΔH_f (0 K)	109	kJ per mole of atoms
space group	Fm-3m, No. 225

Cell lengths 6.4840, 6.4840, 6.4840 Å; angles 60.00, 60.00, 60.00 degrees
With the nearest neighbours (Å) after each atom.
Element x y z (fractional)
La1 0.5000 0.5000 0.5000  8 Cs 3.97
Cs1 0.2500 0.2500 0.2500  4 La 3.97, 4 Mn 3.97
Mn1 0.0000 0.0000 0.0000  8 Cs 3.97
Cs2 0.7500 0.7500 0.7500  4 Mn 3.97, 4 La 3.97

- The lowest mass density belongs to which entry?
  CsLaMg2Zn

- The lowest calculated total energy belongs to which entry?
  CsLaMn2

- What is the mass density in the fifth record?
  5.32 Mg/m³